[1]
Compound: IrRu3Cl
Source: the Alexandria database
Functional: PBE
Structure: optimized geometry

It has space group Pm-3m (No. 221), with a = 4.290 Å, b = 4.290 Å, c = 4.290 Å, α = 90.00°, β = 90.00° and γ = 90.00°. The distinct sites, in fractional coordinates, are Ir at (0.000, 0.000, 0.000), Ru at (0.000, 0.500, 0.500) and Cl at (0.500, 0.500, 0.500).

Its formation energy from raw total energies is 1358 meV/atom. For the raw total energy, the calculation gives -6.3491 eV/atom. The energy above the most stable polymorph in this dataset comes out at 0 meV/atom.


[2]
Compound: Ir2RuCl
Source: the Alexandria database
Functional: PBE
Structure: optimized geometry

It has space group Cmmm (No. 65), with a = 5.447 Å, b = 8.001 Å, c = 2.748 Å, α = 90.00°, β = 90.00° and γ = 90.00°. The distinct sites, in fractional coordinates, are Ir at (0.250, 0.250, 0.000), Ru at (0.000, 0.000, 0.500) and Cl at (0.000, 0.500, 0.500).

Its formation energy from raw total energies is 980 meV/atom. For the raw total energy, the calculation gives -6.2310 eV/atom. The energy above the most stable polymorph in this dataset comes out at 549 meV/atom.


[3]
Compound: IrRuCl
Source: the Alexandria database
Functional: PBE
Structure: optimized geometry

It has space group P3m1 (No. 156), with a = 3.6366 Å, b = 3.6366 Å, c = 5.5983 Å, α = 90.00°, β = 90.00° and γ = 120.00°. The distinct sites, in fractional coordinates, are Ir at (0.0000, 0.0000, 0.0000), Ru at (0.3333, 0.6667, 0.2011) and Cl at (0.6667, 0.3333, 0.4803).

Its formation energy from raw total energies is 666 meV/atom. For the raw total energy, the calculation gives -5.9950 eV/atom. The energy above the most stable polymorph in this dataset comes out at 189 meV/atom.


[4]
Compound: Sc2IrRuCl
Source: the Alexandria database
Functional: PBE
Structure: optimized geometry

It has space group P4/mmm (No. 123), with a = 5.032 Å, b = 5.032 Å, c = 4.603 Å, α = 90.00°, β = 90.00° and γ = 90.00°. The distinct sites, in fractional coordinates, are Sc at (0.000, 0.500, 0.000), Ir at (0.000, 0.000, 0.000), Ru at (0.500, 0.500, 0.500) and Cl at (0.000, 0.000, 0.500).

Its formation energy from raw total energies is 564 meV/atom. For the raw total energy, the calculation gives -5.9656 eV/atom.


[5]
Compound: IrRu2SeCl
Source: the Alexandria database
Functional: PBE
Structure: optimized geometry

It has space group P4/mmm (No. 123), with a = 4.263 Å, b = 4.263 Å, c = 4.858 Å, α = 90.00°, β = 90.00° and γ = 90.00°. The distinct sites, in fractional coordinates, are Ir at (0.000, 0.000, 0.000), Ru at (0.000, 0.500, 0.500), Se at (0.500, 0.500, 0.000) and Cl at (0.500, 0.500, 0.500).

Its formation energy from raw total energies is 1661 meV/atom. For the raw total energy, the calculation gives -4.8875 eV/atom.


[6]
Compound: Si2IrRuCl
Source: the Alexandria database
Functional: PBE
Structure: optimized geometry

It has space group P4/mmm (No. 123), with a = 4.428 Å, b = 4.428 Å, c = 4.260 Å, α = 90.00°, β = 90.00° and γ = 90.00°. The distinct sites, in fractional coordinates, are Si at (0.000, 0.500, 0.000), Ir at (0.000, 0.000, 0.500), Ru at (0.500, 0.500, 0.500) and Cl at (0.500, 0.500, 0.000).

Its formation energy from raw total energies is 1449 meV/atom. For the raw total energy, the calculation gives -4.7170 eV/atom.


[7]
Compound: IrS3Cl
Source: the Alexandria database
Functional: PBE
Structure: optimized geometry

It has space group Pm-3m (No. 221), with a = 4.656 Å, b = 4.656 Å, c = 4.656 Å, α = 90.00°, β = 90.00° and γ = 90.00°. The distinct sites, in fractional coordinates, are Ir at (0.000, 0.000, 0.000), S at (0.000, 0.000, 0.500) and Cl at (0.500, 0.500, 0.500).

Its formation energy from raw total energies is 640 meV/atom. For the raw total energy, the calculation gives -3.9783 eV/atom. The energy above the most stable polymorph in this dataset comes out at 0 meV/atom.


[8]
Compound: IrSCl
Source: the Alexandria database
Functional: PBE
Structure: optimized geometry

It has space group P-1 (No. 2), with a = 3.450 Å, b = 6.093 Å, c = 7.518 Å, α = 85.06°, β = 84.90° and γ = 86.24°. The distinct sites, in fractional coordinates, are Ir at (0.206, 0.023, 0.337), S at (0.279, 0.211, 0.597) and Cl at (0.319, 0.767, 0.841).

Its formation energy from raw total energies is -187 meV/atom. For the raw total energy, the calculation gives -5.1319 eV/atom.


[9]
Compound: IrS6Cl2
Source: the Alexandria database
Functional: PBE
Structure: optimized geometry

It has space group C2/m (No. 12), with a = 10.324 Å, b = 7.517 Å, c = 6.383 Å, α = 90.00°, β = 93.56° and γ = 90.00°. The distinct sites, in fractional coordinates, are Ir at (0.000, 0.000, 0.000), S at (0.000, 0.371, 0.500), S at (0.077, 0.282, 0.912) and Cl at (0.148, 0.000, 0.299).

Its formation energy from raw total energies is 44 meV/atom. For the raw total energy, the calculation gives -4.1021 eV/atom.


[10]
Compound: IrS2Cl4
Source: the Alexandria database
Functional: PBE
Structure: optimized geometry

It has space group P-1 (No. 2), with a = 3.562 Å, b = 3.571 Å, c = 14.725 Å, α = 94.87°, β = 90.11° and γ = 90.42°. The distinct sites, in fractional coordinates, are Ir at (0.000, 0.000, 0.000), S at (0.418, 0.811, 0.550), Cl at (0.000, 0.464, 0.898) and Cl at (0.416, 0.870, 0.332).

Its formation energy from raw total energies is 76 meV/atom. For the raw total energy, the calculation gives -3.4243 eV/atom.


[11]
Compound: IrSCl
Source: the Alexandria database
Functional: PBE
Structure: optimized geometry

It has space group Cm (No. 8), with a = 5.997 Å, b = 3.464 Å, c = 6.645 Å, α = 90.00°, β = 96.40° and γ = 90.00°. The distinct sites, in fractional coordinates, are Ir at (0.000, 0.000, 0.000), S at (0.188, 0.500, 0.174) and Cl at (0.304, 0.000, 0.760).

Its formation energy from raw total energies is -391 meV/atom. For the raw total energy, the calculation gives -5.3358 eV/atom.


[12]
Compound: IrS2Cl2
Source: the Alexandria database
Functional: PBE
Structure: optimized geometry

It has space group C2/m (No. 12), with a = 7.856 Å, b = 10.467 Å, c = 7.404 Å, α = 90.00°, β = 108.47° and γ = 90.00°. The distinct sites, in fractional coordinates, are Ir at (0.000, 0.157, 0.000), S at (0.076, 0.000, 0.805), S at (0.191, 0.000, 0.198) and Cl at (0.066, 0.312, 0.230).

Its formation energy from raw total energies is -95 meV/atom. For the raw total energy, the calculation gives -4.2564 eV/atom.